This record from Alexandria via LeMat-Bulk describes a geometry-optimized MgMn2CO structure. The functional is PBE with a Hubbard U.

Values from the calculation:
- Density of states at the Fermi level: 0.9588 states/eV per atom
- Calculated density: 2.8 g/cm3
- E_tot: -4.795 eV per atom

```
MgMn2CO
1.0
-2.2265 -3.1178 3.5575
3.1191 -1.6508 0.5053
1.2054 3.4281 3.7589
Mg Mn C O
1 2 1 1
direct
0.0000 0.0000 0.0000 Mg
0.0000 0.0000 0.5000 Mn
0.5000 0.0000 0.0000 Mn
0.5000 0.5000 0.5000 C
0.0000 0.5000 0.0000 O
```

***

This record from Alexandria via LeMat-Bulk describes a geometry-optimized Mg6MnCO8 structure. The functional is PBE with a Hubbard U.

Values from the calculation:
- Density of states at the Fermi level: 0.0589 states/eV per atom
- Calculated density: 3.6 g/cm3
- Polymorph energy (0 for the lowest one): 0.0000 eV per atom

```
Mg6MnCO8
1.0
-2.8367 3.1469 0.3939
-2.3187 -1.6973 -3.1382
-4.3662 -4.6547 5.7436
Mg Mn C O
6 1 1 8
direct
0.5000 0.5000 0.0000 Mg
0.5000 0.5000 0.5000 Mg
0.0000 0.5000 0.2574 Mg
0.0000 0.5000 0.7426 Mg
0.5000 0.0000 0.2574 Mg
0.5000 0.0000 0.7426 Mg
0.0000 0.0000 0.0000 Mn
0.0000 0.0000 0.5000 C
0.0000 0.0000 0.2554 O
0.0000 0.0000 0.7446 O
0.5000 0.5000 0.2516 O
0.5000 0.5000 0.7484 O
0.0000 0.5000 0.0000 O
0.0000 0.5000 0.5000 O
0.5000 0.0000 0.0000 O
0.5000 0.0000 0.5000 O
```

***

Look up the density of states at the Fermi level of the second one.
0.0589 states/eV per atom

***

Look up the density of states at the Fermi level of the second one.
0.0589 states/eV per atom

***

The lowest calculated density belongs to which entry?
MgMn2CO

***

Among the records above, which one has the lowest calculated density?
MgMn2CO